1.
VCoCF2 | PBE+U | optimized geometry

Computed properties:
Fermi-level density of states in states/eV/cell: 4.03
E in eV/f.u.: -24.36
Magnetization in Bohr magnetons per cell: 2.5

Structure (CIF):
```
data_VCoCF2
_chemical_formula_sum 'V1 Co1 C1 F2'
_cell_length_a 3.673
_cell_length_b 3.673
_cell_length_c 4.511
_cell_angle_alpha 90.00
_cell_angle_beta 90.00
_cell_angle_gamma 90.00
_symmetry_space_group_name_H-M 'P 4/m m m'
_symmetry_Int_Tables_number 123
_symmetry_space_group_name_Hall '-P 4 2'
loop_
_atom_site_label
_atom_site_type_symbol
_atom_site_fract_x
_atom_site_fract_y
_atom_site_fract_z
V1 V 0.000 0.000 0.000
Co1 Co 0.500 0.500 0.500
C1 C 0.500 0.500 0.000
F1 F 0.000 0.500 0.500
```



2.
ZnCoC2F | PBE+U | optimized geometry

Computed properties:
Fermi-level density of states in states/eV/cell: 1.27
E in eV/f.u.: -22.77
Magnetization in Bohr magnetons per cell: 0.1

Structure (CIF):
```
data_ZnCoC2F
_chemical_formula_sum 'Zn1 Co1 C2 F1'
_cell_length_a 3.466
_cell_length_b 3.466
_cell_length_c 4.947
_cell_angle_alpha 90.00
_cell_angle_beta 90.00
_cell_angle_gamma 90.00
_symmetry_space_group_name_H-M 'P 4/m m m'
_symmetry_Int_Tables_number 123
_symmetry_space_group_name_Hall '-P 4 2'
loop_
_atom_site_label
_atom_site_type_symbol
_atom_site_fract_x
_atom_site_fract_y
_atom_site_fract_z
Zn1 Zn 0.000 0.000 0.000
Co1 Co 0.000 0.000 0.500
C1 C 0.000 0.500 0.500
F1 F 0.500 0.500 0.000
```